{
  "formula": "KMg2CdCl8",
  "functional": "PBE-GGA",
  "state": "relaxed",
  "cell": [[5.5290, 0.0000, 0.0000], [-0.5879, 6.5834, 0.0000], [-2.6724, -0.5432, 8.9349]],
  "species": ["K", "Mg", "Mg", "Cd", "Cl", "Cl", "Cl", "Cl", "Cl", "Cl", "Cl", "Cl"],
  "frac_coords": [[0.0000, 0.0000, 0.0000], [0.1192, 0.5148, 0.6949], [0.8808, 0.4852, 0.3051], [0.5000, 0.0000, 0.5000], [0.1513, 0.7955, 0.2932], [0.2325, 0.3440, 0.4898], [0.2453, 0.5023, 0.9852], [0.3831, 0.8355, 0.7374], [0.6169, 0.1645, 0.2626], [0.7547, 0.4977, 0.0148], [0.7675, 0.6560, 0.5102], [0.8487, 0.2045, 0.7068]],
  "rho_g_cm3": 2.5,
  "total_magnetization_mub_per_fu": 0.000,
  "volume_a3_per_atom": 27.1,
  "formation_energy_uncorrected_ev_per_atom": -1.410,
  "space_group": "P-1 (2)"
}